Entry 1:
{
  "formula": "HoTh4Sc3Se8",
  "functional": "PBE-GGA",
  "state": "relaxed",
  "raw_formation_energy_mev_per_atom": -1574,
  "dos_ef_per_ev_cell": 9.0,
  "crystal_system": "trigonal",
  "lattice": [[3.943, 2.277, 7.054], [-3.943, 2.277, 7.054], [0.000, -4.553, 7.054]],
  "species": ["Ho", "Th", "Th", "Th", "Th", "Sc", "Sc", "Sc", "Se", "Se", "Se", "Se", "Se", "Se", "Se", "Se"],
  "frac_coords": [[0.000, 0.000, 0.000], [0.000, 0.000, 0.500], [0.000, 0.500, 0.000], [0.500, 0.000, 0.000], [0.500, 0.500, 0.500], [0.000, 0.500, 0.500], [0.500, 0.000, 0.500], [0.500, 0.500, 0.000], [0.244, 0.244, 0.734], [0.244, 0.734, 0.244], [0.260, 0.260, 0.260], [0.266, 0.756, 0.756], [0.734, 0.244, 0.244], [0.740, 0.740, 0.740], [0.756, 0.266, 0.756], [0.756, 0.756, 0.266]]
}


Entry 2:
{
  "formula": "CsCd2RuW",
  "functional": "PBE-GGA",
  "state": "relaxed",
  "dos_ef_per_ev_cell": 3.5,
  "delta_e_f_mev_per_atom": 831,
  "crystal_system": "tetragonal",
  "lattice": [[5.458, 0.000, 0.000], [0.000, 5.458, 0.000], [0.000, 0.000, 4.796]],
  "species": ["Cs", "Cd", "Cd", "Ru", "W"],
  "frac_coords": [[0.000, 0.000, 0.000], [0.000, 0.500, 0.500], [0.500, 0.000, 0.500], [0.500, 0.500, 0.500], [0.500, 0.500, 0.000]]
}